Ho3Mg3Tl2Ga (GGA-PBE, relaxed); magnetic moment = 0.00 μB per cell; symmetry = P-62m
1.0
7.4934 0.0000 0.0000
-3.7467 6.4895 0.0000
0.0000 0.0000 4.5356
Ho Mg Tl Ga
3 3 2 1
Direct
0.0000 0.4177 0.0000 Ho
0.4177 0.0000 0.0000 Ho
0.5823 0.5823 0.0000 Ho
0.0000 0.7631 0.5000 Mg
0.2369 0.2369 0.5000 Mg
0.7631 0.0000 0.5000 Mg
0.3333 0.6667 0.5000 Tl
0.6667 0.3333 0.5000 Tl
0.0000 0.0000 0.0000 Ga

=====

HfAlCdCo (GGA-PBE, relaxed); magnetic moment = 0.23 μB per cell; E above lowest polymorph = 64.2 kJ/mol of formula units; symmetry = F-43m
1.0
0.0000 3.2102 3.2102
3.2102 0.0000 3.2102
3.2102 3.2102 0.0000
Hf Al Cd Co
1 1 1 1
Direct
0.0000 0.0000 0.0000 Hf
0.2500 0.2500 0.2500 Al
0.7500 0.7500 0.7500 Cd
0.5000 0.5000 0.5000 Co

=====

GdErFe2Br2 (GGA-PBE, relaxed); magnetic moment = 1.87 μB per cell; symmetry = P3m1
1.0
3.8576 0.0000 0.0000
-1.9288 3.3407 0.0000
0.0000 0.0000 11.6226
Gd Er Fe Br
1 1 2 2
Direct
0.0000 0.0000 0.0000 Gd
0.0000 0.0000 0.3399 Er
0.3333 0.6667 0.1676 Fe
0.6667 0.3333 0.1790 Fe
0.3333 0.6667 0.5035 Br
0.6667 0.3333 0.8323 Br

=====

LiTm3S4 (GGA-PBE, relaxed); magnetic moment = 0.00 μB per cell; symmetry = Cmmm
1.0
3.8217 -5.3925 0.0000
3.8217 5.3925 0.0000
0.0000 0.0000 3.8113
Li Tm S
1 3 4
Direct
0.0000 0.0000 0.0000 Li
0.0000 0.5000 0.5000 Tm
0.5000 0.0000 0.5000 Tm
0.5000 0.5000 0.0000 Tm
0.2461 0.2461 0.5000 S
0.2462 0.7538 0.0000 S
0.7538 0.2462 0.0000 S
0.7539 0.7539 0.5000 S

=====

| no. | calculated total energy (eV/atom) |
| --- | --- |
| 1 | -3.26 |
| 2 | -5.35 |
| 3 | -5.80 |
| 4 | -5.89 |